# PBE Nb3Cu2Te6, optimized geometry
data_Nb3Cu2Te6
_cell_length_a 6.923
_cell_length_b 7.996
_cell_length_c 11.754
_cell_angle_alpha 79.69
_cell_angle_beta 76.00
_cell_angle_gamma 65.53
_space_group_name_H-M_alt 'P -1'
_space_group_IT_number 2
loop_
_space_group_symop_operation_xyz
'x,y,z'
'-x,-y,-z'
loop_
_atom_site_label
_atom_site_type_symbol
_atom_site_fract_x
_atom_site_fract_y
_atom_site_fract_z
Nb1 Nb 0.109 0.105 0.406
Nb2 Nb 0.125 0.512 0.286
Nb3 Nb 0.386 0.198 0.723
Cu1 Cu 0.174 0.417 0.037
Cu2 Cu 0.199 0.603 0.697
Te1 Te 0.033 0.245 0.908
Te2 Te 0.221 0.326 0.522
Te3 Te 0.254 0.918 0.639
Te4 Te 0.255 0.724 0.401
Te5 Te 0.342 0.157 0.188
Te6 Te 0.460 0.447 0.842
# ΔE_f (raw): -121 meV per atom

=====

# PBE Na2BiB, optimized geometry
data_Na2BiB
_cell_length_a 4.119
_cell_length_b 4.119
_cell_length_c 20.855
_cell_angle_alpha 90.00
_cell_angle_beta 90.00
_cell_angle_gamma 90.00
_space_group_name_H-M_alt 'I -4 2 d'
_space_group_IT_number 122
_space_group_name_Hall 'I -4 2bw'
loop_
_atom_site_label
_atom_site_type_symbol
_atom_site_fract_x
_atom_site_fract_y
_atom_site_fract_z
Na1 Na 0.220 0.250 0.125
Bi1 Bi 0.000 0.000 0.500
B1 B 0.000 0.000 0.000
# Energy of formation from the pure elements: 0.8004 eV/atom

=====

# PBE Be2SiAu, optimized geometry
data_Be2SiAu
_cell_length_a 2.8318
_cell_length_b 2.8318
_cell_length_c 22.1790
_cell_angle_alpha 90.00
_cell_angle_beta 90.00
_cell_angle_gamma 120.00
_space_group_name_H-M_alt 'R -3 m'
_space_group_IT_number 166
_space_group_name_Hall '-R 3 2"'
loop_
_atom_site_label
_atom_site_type_symbol
_atom_site_fract_x
_atom_site_fract_y
_atom_site_fract_z
Be1 Be 0.0000 0.0000 0.2472
Si1 Si 0.0000 0.0000 0.5000
Au1 Au 0.0000 0.0000 0.0000
# ΔE_f (raw): 249 meV per atom

=====

# PBE LiAgBiOs2, optimized geometry
data_LiAgBiOs2
_cell_length_a 4.936
_cell_length_b 4.936
_cell_length_c 4.249
_cell_angle_alpha 90.00
_cell_angle_beta 90.00
_cell_angle_gamma 90.00
_space_group_name_H-M_alt 'P 4/m m m'
_space_group_IT_number 123
_space_group_name_Hall '-P 4 2'
loop_
_atom_site_label
_atom_site_type_symbol
_atom_site_fract_x
_atom_site_fract_y
_atom_site_fract_z
Li1 Li 0.000 0.000 0.000
Ag1 Ag 0.000 0.000 0.500
Bi1 Bi 0.500 0.500 0.000
Os1 Os 0.000 0.500 0.500
# Energy of formation from the pure elements: 1.6547 eV/atom